Below is a geometry-optimized SrVWO6 structure, with properties calculated at the PBE with a Hubbard U level.

Total magnetization   2.0 Bohr magnetons per cell
DFT total energy   -7.297 eV per atom
Volume   13.084 Å³/atom

Cell and atoms, written as POSCAR:
```
SrVWO6
1.0
-2.137 0.497 -4.428
-3.003 -3.789 1.024
-6.424 6.115 3.787
O V W Sr
12 2 2 2
Direct
0.233 0.767 0.803
0.767 0.233 0.803
0.733 0.733 0.303
0.667 0.667 0.998
0.267 0.267 0.303
0.232 0.768 0.203
0.768 0.232 0.203
0.268 0.268 0.703
0.732 0.732 0.703
0.833 0.167 0.498
0.167 0.833 0.498
0.333 0.333 0.998
0.500 0.500 0.163
0.000 0.000 0.663
0.500 0.500 0.835
0.000 0.000 0.335
0.500 0.500 0.494
0.000 0.000 0.994
```